Crystalline PmSbP at its relaxed geometry. Source: Alexandria, functional PBE-GGA.

Geometry as POSCAR:
```
PmSbP
1.0
3.978 0.000 0.000
0.000 3.978 0.000
0.000 0.000 10.513
Pm Sb P
2 2 2
Direct
0.000 0.000 0.000
0.500 0.500 0.500
0.000 0.000 0.317
0.500 0.500 0.817
0.000 0.000 0.561
0.500 0.500 0.061
```

Values from the calculation:
ρ (Mg/m³): 5.94
Total moment (Bohr magnetons per cell): 0.00
N(E_F) (states/eV/f.u.): 1.6
Formation energy from raw total energies (eV/f.u.): -2.19
Energy above the lowest structure with this stoichiometry (meV/atom): 0.0